Entry 1:
The following is a PBE calculation of crystalline HgTe2Os at its relaxed geometry, from OQMD.

Calculated values
**Total energy**: -3.3553 eV per atom
**Density**: 12.11 g/cm3

a = 5.0038 Å, b = 5.0038 Å, c = 5.0038 Å
α = 60.00°, β = 60.00°, γ = 60.00°
Last column: nearest neighbours and their distance in Å.
Atoms (fractional coordinates):
Te 0.0000 0.0000 0.0000  4 Te 3.06, 4 Hg 3.06
Te 0.7500 0.7500 0.7500  4 Os 3.06, 4 Te 3.06
Os 0.5000 0.5000 0.5000  4 Hg 3.06, 4 Te 3.06
Hg 0.2500 0.2500 0.2500  4 Os 3.06, 4 Te 3.06


Entry 2:
The following is a PBE calculation of crystalline TlHg3Te4Os at its relaxed geometry, from OQMD.

Calculated values
**Total energy**: -2.7749 eV per atom
**Density**: 6.07 g/cm3

a = 7.4420 Å, b = 7.4420 Å, c = 7.4420 Å
α = 90.00°, β = 90.00°, γ = 90.00°
Last column: nearest neighbours and their distance in Å.
Atoms (fractional coordinates):
Te 0.6949 0.3051 0.6949  1 Os 2.51
Te 0.6949 0.6949 0.3051  1 Os 2.51
Tl 0.0000 0.0000 0.0000  4 Te 3.93
Te 0.3051 0.3051 0.3051  1 Os 2.51
Hg 0.5000 0.0000 0.5000  4 Te 3.06
Os 0.5000 0.5000 0.5000  4 Te 2.51
Te 0.3051 0.6949 0.6949  1 Os 2.51
Hg 0.5000 0.5000 0.0000  4 Te 3.06
Hg 0.0000 0.5000 0.5000  4 Te 3.06